# NaCuAg2Cl5 PBE-GGA optimized geometry
data_NaCuAg2Cl5
_chemical_formula_sum 'Na4 Cu4 Ag8 Cl20'
_cell_length_a 3.7691
_cell_length_b 21.1242
_cell_length_c 11.4074
_cell_angle_alpha 90.00
_cell_angle_beta 90.00
_cell_angle_gamma 90.00
_symmetry_space_group_name_H-M 'C m c 21'
_symmetry_Int_Tables_number 36
loop_
_symmetry_equiv_pos_as_xyz
'x,y,z'
'-x,-y,z+1/2'
'-x,y,z'
'x,-y,z+1/2'
'x+1/2,y+1/2,z'
'-x+1/2,-y+1/2,z+1/2'
'-x+1/2,y+1/2,z'
'x+1/2,-y+1/2,z+1/2'
loop_
_atom_site_label
_atom_site_fract_x
_atom_site_fract_y
_atom_site_fract_z
_atom_site_occupancy
Na1 0.0000 0.1868 0.0000 1
Cu1 0.0000 0.4584 0.4066 1
Ag1 0.0000 0.1281 0.3333 1
Ag2 0.0000 0.1816 0.6615 1
Cl1 0.0000 0.0502 0.0154 1
Cl2 0.0000 0.3052 0.6748 1
Cl3 0.0000 0.3240 0.9902 1
Cl4 0.0000 0.3544 0.3185 1
Cl5 0.0000 0.4578 0.7898 1
# Formation energy (no corrections) (eV per atom): -0.719
# Crystal system: orthorhombic
# Magnetization (μB per formula unit): 0.8